# 1
The following is a PBE calculation of Ho5Tm12Mg2 after structural relaxation, from Alexandria via LeMat-Bulk.

abc: 9.0212 9.0361 8.1783
angles: 90.06 90.00 119.95
Element x y z (fractional)
Ho 0.2368 0.4737 0.5808
Ho 0.3018 0.6036 0.9960
Ho 0.0000 0.0000 0.5000
Ho 0.6982 0.3964 0.0040
Ho 0.7632 0.5263 0.4192
Tm 0.9089 0.8178 0.1037
Tm 0.0305 0.6908 0.7535
Tm 0.6603 0.6908 0.7535
Tm 0.1801 0.7505 0.3360
Tm 0.5704 0.7505 0.3360
Tm 0.4440 0.8881 0.6693
Tm 0.5560 0.1119 0.3307
Tm 0.8199 0.2495 0.6640
Tm 0.4296 0.2495 0.6640
Tm 0.9695 0.3092 0.2465
Tm 0.3397 0.3092 0.2465
Tm 0.0911 0.1822 0.8963
Mg 0.6765 0.0000 0.0000
Mg 0.3235 0.0000 0.0000

energy of formation from the pure elements	0.103	eV per atom
calculated volume	30.4	Å³/atom
total energy	-77.8	eV per cell
M_tot	0.00	μB/cell

# 2
The following is a PBE calculation of Zn8Ag2Rh after structural relaxation, from Alexandria via LeMat-Bulk.

abc: 4.1838 6.9839 7.4730
angles: 62.14 80.63 69.61
Element x y z (fractional)
Zn 0.8730 0.0980 0.2004
Zn 0.8730 0.2984 0.7996
Zn 0.3022 0.3886 0.0000
Zn 0.5000 0.8077 0.3847
Zn 0.5000 0.1923 0.6153
Zn 0.6978 0.6114 0.0000
Zn 0.1270 0.7016 0.2004
Zn 0.1270 0.9020 0.7996
Ag 0.0000 0.3083 0.3834
Ag 0.0000 0.6917 0.6166
Rh 0.5000 0.0000 0.0000

energy of formation from the pure elements	-0.008	eV per atom
calculated volume	16.5	Å³/atom
total energy	-23.3	eV per cell
M_tot	0.00	μB/cell